Compound: Na2PPd
Source: Alexandria
Functional: GGA-PBE
Structure: relaxed

Cell lengths 4.9497, 4.9497, 4.4750 Å; angles 90.00, 90.00, 120.00 degrees
Space group P-3m1 (No. 164)
Unique sites:
Na  0.3333  0.6667  0.2607
P  0.0000  0.0000  0.5000
Pd  0.0000  0.0000  0.0000

As for the crystal system: trigonal. The spin magnetization is 0.00 μB/f.u. For the total energy, the calculation gives -3.711 eV/atom. The value obtained for the density of states at the Fermi level is 2.02 states/eV/f.u. For the formation energy, the calculation gives -401 meV/atom.